First-principles (PBE) data for an optimized crystal structure of DyHfZnNi, as listed in the Alexandria database.

extended XYZ file:
```
4
Lattice="0.000 3.357 3.357 3.357 0.000 3.357 3.357 3.357 0.000" Properties=species:S:1:pos:R:3 pbc="T T T"
Dy 0.000 0.000 0.000
Hf 3.357 3.357 3.357
Zn 5.035 5.035 5.035
Ni 1.678 1.678 1.678
```

Summary:
- energy of formation (eV/atom) = -0.217
- spin magnetization (μB/f.u.) = 0.00
- electronic total energy (eV per atom) = -5.620

First-principles (PBE) data for an optimized crystal structure of DyHf2Np, as listed in the Alexandria database.

extended XYZ file:
```
4
Lattice="1.616 0.933 10.733 -1.616 0.933 10.733 0.000 -1.867 10.733" Properties=species:S:1:pos:R:3 pbc="T T T"
Dy 0.000 0.000 0.000
Hf 0.000 0.000 7.934
Hf 0.000 0.000 24.267
Np 0.000 0.000 16.100
```

Summary:
- energy of formation (eV/atom) = 0.325
- spin magnetization (μB/f.u.) = 3.63
- electronic total energy (eV per atom) = -9.037

First-principles (PBE) data for an optimized crystal structure of DyHfNpO6, as listed in the Alexandria database.

extended XYZ file:
```
18
Lattice="5.595 0.000 0.000 -2.797 4.845 0.000 0.000 0.000 9.521" Properties=species:S:1:pos:R:3 pbc="T T T"
Dy 0.000 0.000 0.000
Dy 0.000 0.000 4.761
Hf 0.000 3.230 2.380
Hf 2.797 1.615 7.141
Np 0.000 3.230 7.141
Np 2.797 1.615 2.380
O -0.944 1.703 1.293
O -1.794 3.176 3.468
O 0.944 1.703 3.468
O -0.850 4.811 1.293
O 1.947 0.034 6.053
O 1.003 1.669 8.229
O 1.794 3.176 1.293
O 0.850 4.811 3.468
O 3.648 0.034 8.229
O 1.853 3.142 6.053
O 4.592 1.669 6.053
O 3.741 3.142 8.229
```

Summary:
- uncorrected formation energy (meV per atom) = -3250.7
- spin magnetization (μB/f.u.) = 2.00
- electronic total energy (eV per atom) = -9.611